# 1
Below is crystalline K4Au2F at its relaxed geometry, with properties calculated at the PBE level.

Output
Magnetization (μB/f.u.): 0.00
Formation energy from raw total energies (eV per atom): -0.8944
Energy above the most stable polymorph in this dataset (eV/f.u.): 0.28

abc: 7.7059 9.7624 13.6970
angles: 90.00 90.00 90.00
Atoms (fractional coordinates):
Au 0.7500 0.0196 0.1816
Au 0.2500 0.6129 0.0604
Au 0.7500 0.3871 0.9396
Au 0.2500 0.9804 0.8184
Au 0.2500 0.4804 0.6816
Au 0.2500 0.1129 0.4396
Au 0.7500 0.8871 0.5604
Au 0.7500 0.5196 0.3184
K 0.2500 0.3180 0.9076
K 0.4988 0.1758 0.6519
K 0.2500 0.4565 0.4255
K 0.9988 0.8242 0.3481
K 0.7500 0.5435 0.5745
K 0.5012 0.3242 0.1519
K 0.5012 0.8242 0.3481
K 0.2500 0.9565 0.0745
K 0.9988 0.3242 0.1519
K 0.7500 0.1820 0.4076
K 0.0012 0.1758 0.6519
K 0.0012 0.6758 0.8481
K 0.7500 0.6820 0.0924
K 0.2500 0.8180 0.5924
K 0.4988 0.6758 0.8481
K 0.7500 0.0435 0.9255
F 0.2500 0.2088 0.0731
F 0.7500 0.2912 0.5731
F 0.2500 0.7088 0.4269
F 0.7500 0.7912 0.9269



# 2
Below is crystalline K4Au2F at its relaxed geometry, with properties calculated at the PBE level.

Output
Magnetization (μB/f.u.): 0.00
Formation energy from raw total energies (eV per atom): -0.9093
Energy above the most stable polymorph in this dataset (eV/f.u.): 0.17

abc: 7.8969 7.6275 9.1290
angles: 90.00 106.87 90.00
Atoms (fractional coordinates):
K 0.9287 0.2500 0.6251
K 0.0749 0.7500 0.9116
K 0.0713 0.7500 0.3749
K 0.4794 0.5107 0.2510
K 0.4794 0.9893 0.2510
K 0.9251 0.2500 0.0884
K 0.5206 0.0107 0.7490
K 0.5206 0.4893 0.7490
Au 0.7505 0.7500 0.5593
Au 0.2495 0.2500 0.4407
Au 0.2807 0.2500 0.9426
Au 0.7193 0.7500 0.0574
F 0.7490 0.2500 0.8120
F 0.2510 0.7500 0.1880



# 3
Below is crystalline K8Au2F at its relaxed geometry, with properties calculated at the PBE level.

Output
Magnetization (μB/f.u.): 0.00
Formation energy from raw total energies (eV per atom): -0.5803

abc: 7.9122 8.6172 8.5956
angles: 89.47 117.40 90.00
Atoms (fractional coordinates):
Au 0.0939 0.4622 0.1878
Au 0.9061 0.5378 0.8122
K 0.8093 0.8928 0.6185
K 0.1907 0.1072 0.3815
K 0.7335 0.2242 0.9318
K 0.8017 0.7758 0.0682
K 0.6981 0.4122 0.3961
K 0.3019 0.5878 0.6039
K 0.2665 0.7758 0.0682
K 0.1983 0.2242 0.9318
F 0.0000 0.0000 0.0000



# 4
Below is crystalline KAu2F at its relaxed geometry, with properties calculated at the PBE level.

Output
Magnetization (μB/f.u.): 0.00
Formation energy from raw total energies (eV per atom): -1.0024
Energy above the most stable polymorph in this dataset (eV/f.u.): 0.00

abc: 3.7631 3.7631 14.7163
angles: 82.65 82.65 90.00
Atoms (fractional coordinates):
K 0.0000 0.0000 0.0000
K 0.7500 0.2500 0.5000
F 0.5000 0.5000 0.0000
F 0.2500 0.7500 0.5000
Au 0.8750 0.8748 0.7500
Au 0.1252 0.6250 0.2500
Au 0.6248 0.1250 0.2500
Au 0.3750 0.3752 0.7500



# 5
Below is crystalline KAu2F7 at its relaxed geometry, with properties calculated at the PBE level.

Output
Magnetization (μB/f.u.): 0.00
Formation energy from raw total energies (eV per atom): -1.3177

abc: 4.2561 7.1570 7.1570
angles: 125.88 90.00 90.00
Atoms (fractional coordinates):
F 0.5000 0.3433 0.0390
F 0.5000 0.5000 0.5000
F 0.0000 0.3339 0.6661
F 0.5000 0.6567 0.9610
F 0.5000 0.9610 0.6567
F 0.0000 0.6661 0.3339
F 0.5000 0.0390 0.3433
Au 0.5000 0.6670 0.3330
Au 0.5000 0.3330 0.6670
K 0.0000 0.0000 0.0000



# 6
Below is crystalline KAuF2 at its relaxed geometry, with properties calculated at the PBE level.

Output
Magnetization (μB/f.u.): 0.00
Formation energy from raw total energies (eV per atom): -1.4204
Energy above the most stable polymorph in this dataset (eV/f.u.): 1.27

abc: 5.0913 5.0913 7.7074
angles: 70.71 70.71 90.00
Atoms (fractional coordinates):
Au 0.0000 0.0000 0.0000
Au 0.7500 0.2500 0.5000
F 0.8750 0.9251 0.7500
F 0.0749 0.6250 0.2500
F 0.3750 0.3249 0.7500
F 0.6751 0.1250 0.2500
K 0.5000 0.5000 0.0000
K 0.2500 0.7500 0.5000



# 7
Below is crystalline K2AuF8 at its relaxed geometry, with properties calculated at the PBE level.

Output
Magnetization (μB/f.u.): 1.00
Formation energy from raw total energies (eV per atom): -1.5402

abc: 5.4577 5.5905 7.5266
angles: 111.80 104.49 90.00
Atoms (fractional coordinates):
K 0.7623 0.2514 0.5028
K 0.2377 0.7486 0.4972
F 0.7200 0.7334 0.4667
F 0.3498 0.0823 0.1645
F 0.6502 0.9177 0.8355
F 0.0845 0.6718 0.8264
F 0.9155 0.3282 0.1736
F 0.2800 0.2666 0.5333
F 0.9155 0.8454 0.1736
F 0.0845 0.1546 0.8264
Au 0.0000 0.0000 0.0000



# 8
Below is crystalline KAuF4 at its relaxed geometry, with properties calculated at the PBE level.

Output
Magnetization (μB/f.u.): 0.00
Formation energy from raw total energies (eV per atom): -1.6310

abc: 4.3498 6.1349 8.5155
angles: 90.00 104.80 90.00
Atoms (fractional coordinates):
Au 0.0884 0.7500 0.1768
Au 0.9116 0.2500 0.8232
F 0.4108 0.2500 0.8217
F 0.0000 0.5000 0.0000
F 0.8226 0.0090 0.6452
F 0.1774 0.9910 0.3548
F 0.0000 0.0000 0.0000
F 0.5892 0.7500 0.1783
F 0.1774 0.5090 0.3548
F 0.8226 0.4910 0.6452
K 0.3208 0.7500 0.6416
K 0.6792 0.2500 0.3584



# 9
Below is crystalline KAuF2 at its relaxed geometry, with properties calculated at the PBE level.

Output
Magnetization (μB/f.u.): 0.00
Formation energy from raw total energies (eV per atom): -1.3050
Energy above the most stable polymorph in this dataset (eV/f.u.): 1.73

abc: 4.5071 4.5071 4.5071
angles: 60.00 60.00 60.00
Atoms (fractional coordinates):
F 0.7500 0.7500 0.7500
F 0.2500 0.2500 0.2500
Au 0.5000 0.5000 0.5000
K 0.0000 0.0000 0.0000



# 10
Below is crystalline K5AuF8 at its relaxed geometry, with properties calculated at the PBE level.

Output
Magnetization (μB/f.u.): 0.34
Formation energy from raw total energies (eV per atom): -2.2641

abc: 7.0007 7.0007 7.0007
angles: 112.02 104.49 112.02
Atoms (fractional coordinates):
K 0.8274 0.8495 0.2452
K 0.3957 0.1505 0.9779
K 0.0221 0.4178 0.1726
K 0.5000 0.0000 0.5000
K 0.7548 0.5822 0.6043
F 0.0108 0.2212 0.7339
F 0.2104 0.7231 0.9892
F 0.7314 0.2028 0.3093
F 0.2661 0.2769 0.4873
F 0.4714 0.5779 0.2686
F 0.5127 0.7788 0.7896
F 0.1065 0.7972 0.5286
F 0.6907 0.4221 0.8935
Au 0.2500 0.5000 0.7500



# 11
Below is crystalline KAuF2 at its relaxed geometry, with properties calculated at the PBE level.

Output
Magnetization (μB/f.u.): 0.00
Formation energy from raw total energies (eV per atom): -1.7362
Energy above the most stable polymorph in this dataset (eV/f.u.): 0.01

abc: 7.0671 7.0671 7.0671
angles: 32.70 32.70 32.70
Atoms (fractional coordinates):
Au 0.0000 0.0000 0.0000
F 0.1011 0.1011 0.1011
F 0.8989 0.8989 0.8989
K 0.5000 0.5000 0.5000



# 12
Below is crystalline KAu2F4 at its relaxed geometry, with properties calculated at the PBE level.

Output
Magnetization (μB/f.u.): 0.00
Formation energy from raw total energies (eV per atom): -1.3082

abc: 4.4353 6.4059 4.4353
angles: 97.94 90.15 82.06
Atoms (fractional coordinates):
F 0.9523 0.2572 0.5510
F 0.4490 0.2572 0.0477
F 0.0477 0.7428 0.4490
F 0.5510 0.7428 0.9523
Au 0.5548 0.7149 0.4452
Au 0.4452 0.2851 0.5548
K 0.0000 0.0000 0.0000



# 13
Below is crystalline K7Au3F2 at its relaxed geometry, with properties calculated at the PBE level.

Output
Magnetization (μB/f.u.): 0.00
Formation energy from raw total energies (eV per atom): -1.0233

abc: 5.4086 5.1667 13.3566
angles: 90.00 101.68 90.00
Atoms (fractional coordinates):
K 0.2062 0.0000 0.4123
K 0.3982 0.0000 0.7964
K 0.6018 0.0000 0.2036
K 0.0000 0.0000 0.0000
K 0.8948 0.5000 0.7895
K 0.1052 0.5000 0.2105
K 0.7938 0.0000 0.5877
F 0.8975 0.0000 0.7950
F 0.1025 0.0000 0.2050
Au 0.3012 0.5000 0.6025
Au 0.6988 0.5000 0.3975
Au 0.5000 0.5000 0.0000



# 14
Below is crystalline K2AuF at its relaxed geometry, with properties calculated at the PBE level.

Output
Magnetization (μB/f.u.): 0.00
Formation energy from raw total energies (eV per atom): -1.2530
Energy above the most stable polymorph in this dataset (eV/f.u.): 0.84

abc: 5.3662 5.3662 5.3662
angles: 60.00 60.00 60.00
Atoms (fractional coordinates):
Au 0.5000 0.5000 0.5000
K 0.7500 0.7500 0.7500
K 0.2500 0.2500 0.2500
F 0.0000 0.0000 0.0000



# 15
Below is crystalline KAuF4 at its relaxed geometry, with properties calculated at the PBE level.

Output
Magnetization (μB/f.u.): 0.05
Formation energy from raw total energies (eV per atom): -1.7634

abc: 4.7164 6.2585 7.9446
angles: 110.54 90.00 90.00
Atoms (fractional coordinates):
F 0.1763 0.6724 0.6376
F 0.8237 0.3276 0.3624
F 0.6763 0.8276 0.8624
F 0.5273 0.7232 0.3761
F 0.4727 0.2768 0.6239
F 0.0273 0.7768 0.1239
F 0.9727 0.2232 0.8761
F 0.3237 0.1724 0.1376
Au 0.0000 0.0000 0.0000
Au 0.5000 0.5000 0.5000
K 0.0000 0.0000 0.5000
K 0.5000 0.5000 0.0000



# 16
Below is crystalline K2AuF7 at its relaxed geometry, with properties calculated at the PBE level.

Output
Magnetization (μB/f.u.): 0.25
Formation energy from raw total energies (eV per atom): -1.6059

abc: 6.8271 7.6852 8.0450
angles: 82.05 64.89 63.63
Atoms (fractional coordinates):
F 0.6295 0.2500 0.7500
F 0.3705 0.7500 0.2500
F 0.9894 0.3135 0.4918
F 0.1364 0.2624 0.9174
F 0.7479 0.5273 0.8277
F 0.8636 0.7376 0.0826
F 0.2053 0.8135 0.9918
F 0.3162 0.2376 0.5826
F 0.1029 0.9727 0.6723
F 0.2521 0.4727 0.1723
F 0.0106 0.6865 0.5082
F 0.8971 0.0273 0.3277
F 0.6838 0.7624 0.4174
F 0.7947 0.1865 0.0082
Au 0.9241 0.2500 0.7500
Au 0.0759 0.7500 0.2500
K 0.4569 0.0664 0.2636
K 0.5431 0.9336 0.7364
K 0.7870 0.4336 0.2364
K 0.2130 0.5664 0.7636



# 17
Below is crystalline K2AuF at its relaxed geometry, with properties calculated at the PBE level.

Output
Magnetization (μB/f.u.): 0.00
Formation energy from raw total energies (eV per atom): -1.4207
Energy above the most stable polymorph in this dataset (eV/f.u.): 0.17

abc: 4.0850 4.0850 8.0088
angles: 75.22 75.22 60.00
Atoms (fractional coordinates):
K 0.2674 0.2674 0.1978
K 0.0661 0.0661 0.8017
F 0.6669 0.6669 0.9992
Au 0.4996 0.4996 0.5013



# 18
Below is crystalline KAu2F at its relaxed geometry, with properties calculated at the PBE level.

Output
Magnetization (μB/f.u.): 0.00
Formation energy from raw total energies (eV per atom): -0.0204
Energy above the most stable polymorph in this dataset (eV/f.u.): 3.93

abc: 5.0004 5.0004 5.0004
angles: 60.00 60.00 60.00
Atoms (fractional coordinates):
Au 0.2500 0.2500 0.2500
Au 0.7500 0.7500 0.7500
K 0.5000 0.5000 0.5000
F 0.0000 0.0000 0.0000



# 19
Below is crystalline K3AuF at its relaxed geometry, with properties calculated at the PBE level.

Output
Magnetization (μB/f.u.): 0.00
Formation energy from raw total energies (eV per atom): -1.1754
Energy above the most stable polymorph in this dataset (eV/f.u.): 0.00

abc: 5.3361 5.3361 5.3361
angles: 90.00 90.00 90.00
Atoms (fractional coordinates):
K 0.5000 0.0000 0.0000
K 0.0000 0.5000 0.0000
K 0.0000 0.0000 0.5000
F 0.0000 0.0000 0.0000
Au 0.5000 0.5000 0.5000



# 20
Below is crystalline KAu2F6 at its relaxed geometry, with properties calculated at the PBE level.

Output
Magnetization (μB/f.u.): 0.00
Formation energy from raw total energies (eV per atom): -1.3832

abc: 7.7292 7.7292 7.9128
angles: 85.21 119.05 126.04
Atoms (fractional coordinates):
F 0.6425 0.5642 0.3871
F 0.5486 0.8769 0.3119
F 0.0650 0.2367 0.1881
F 0.3575 0.4358 0.6129
F 0.6771 0.2555 0.1129
F 0.1379 0.7035 0.4564
F 0.7471 0.6815 0.0436
F 0.9350 0.7633 0.8119
F 0.2529 0.3185 0.9564
F 0.8621 0.2965 0.5436
F 0.4514 0.1231 0.6881
F 0.3229 0.7445 0.8871
K 0.7050 0.9550 0.7500
K 0.2950 0.0450 0.2500
Au 0.5848 0.3906 0.8711
Au 0.0195 0.7137 0.6289
Au 0.4152 0.6094 0.1289
Au 0.9805 0.2863 0.3711